# TiCoIrO2

A relaxed structure of TiCoIrO2 (PBE+U, the Alexandria database).

Summary:
- Total magnetic moment: 0.76 μB per atom
- Density of states at the Fermi level: 3.8 states/eV/cell
- VASP energy: -6.788 eV/atom

Cell and atoms, written as POSCAR:
```
TiCoIrO2
1.0
-1.6459 2.1058 -2.5041
-4.3790 -4.2051 -0.6582
-1.9513 1.6183 2.6434
Co O Ti Ir
1 2 1 1
direct
0.0000 0.5000 0.0000
0.0000 0.0000 0.5000
0.5000 0.0000 0.0000
0.0000 0.0000 0.0000
0.5000 0.5000 0.5000
```